Record 1
Entry from Alexandria: CaSc4Tc after structural relaxation (GGA-PBE).

a = 5.8626 Å, b = 5.8626 Å, c = 5.8626 Å
α = 60.00°, β = 60.00°, γ = 60.00°
With the nearest neighbours (Å) after each atom.
Fractional coordinates of all 6 atoms:
Ca1 0.0000 0.0000 0.0000  12 Sc 3.45, 4 Tc 3.59
Sc1 0.1360 0.6213 0.6213  6 Sc 2.85-3.02
Sc2 0.6213 0.1360 0.6213  6 Sc 2.85-3.02
Sc3 0.6213 0.6213 0.1360  6 Sc 2.85-3.02
Sc4 0.6213 0.6213 0.6213  6 Sc 2.85-3.02
Tc1 0.2500 0.2500 0.2500  12 Sc 3.43, 4 Ca 3.59

Computed properties:
The raw total energy is -5.703 eV per atom. As for the formation energy: 0.579 eV/atom.



Record 2
Entry from Alexandria: SrZr2Hg after structural relaxation (GGA-PBE).

a = 6.0860 Å, b = 6.0860 Å, c = 3.1374 Å
α = 90.00°, β = 90.00°, γ = 117.13°
With the nearest neighbours (Å) after each atom.
Fractional coordinates of all 4 atoms:
Sr1 0.0000 0.0000 0.0000  2 Sr 3.14, 2 Hg 3.17, 8 Zr 3.42
Zr1 0.0000 0.5000 0.5000  4 Zr 3.14-3.17, 4 Hg 3.42, 4 Sr 3.42
Zr2 0.5000 0.0000 0.5000  4 Zr 3.14-3.17, 4 Hg 3.42, 4 Sr 3.42
Hg1 0.5000 0.5000 0.0000  2 Hg 3.14, 2 Sr 3.17, 8 Zr 3.42

Computed properties:
The raw total energy is -4.358 eV per atom. As for the formation energy: 0.412 eV/atom.



Record 3
Entry from Alexandria: Cs2BaRuI6 after structural relaxation (GGA-PBE).

a = 8.6221 Å, b = 8.6221 Å, c = 8.6221 Å
α = 60.00°, β = 60.00°, γ = 60.00°
With the nearest neighbours (Å) after each atom.
Fractional coordinates of all 10 atoms:
Cs1 0.2500 0.2500 0.2500  12 I 4.32
Cs2 0.7500 0.7500 0.7500  12 I 4.32
Ba1 0.0000 0.0000 0.0000  6 I 3.36
Ru1 0.5000 0.5000 0.5000  6 I 2.73
I1 0.2760 0.2760 0.7240  1 Ru 2.73
I2 0.2760 0.7240 0.2760  1 Ru 2.73
I3 0.2760 0.7240 0.7240  1 Ru 2.73
I4 0.7240 0.2760 0.2760  1 Ru 2.73
I5 0.7240 0.2760 0.7240  1 Ru 2.73
I6 0.7240 0.7240 0.2760  1 Ru 2.73

Computed properties:
The uncorrected formation energy comes out at -1.04 eV per atom. The raw total energy is -3.259 eV per atom.



Record 4
Entry from Alexandria: Re3Mo4W after structural relaxation (GGA-PBE).

a = 6.2866 Å, b = 6.2944 Å, c = 6.2927 Å
α = 90.00°, β = 90.00°, γ = 90.00°
With the nearest neighbours (Å) after each atom.
Fractional coordinates of all 16 atoms:
Re1 0.0000 0.0000 0.0000  4 Mo 2.73, 4 Re 2.73
Re2 0.2500 0.2523 0.2500  2 W 2.72, 4 Mo 2.72-2.73, 2 Re 2.73
Re3 0.2500 0.7477 0.7500  2 W 2.72, 4 Mo 2.72-2.73, 2 Re 2.73
Re4 0.5000 0.0000 0.5000  4 Mo 2.73, 4 Re 2.73
Re5 0.7500 0.2523 0.2500  4 Mo 2.72-2.73, 2 W 2.72, 2 Re 2.73
Re6 0.7500 0.7477 0.7500  2 W 2.72, 4 Mo 2.72-2.73, 2 Re 2.73
Mo1 0.0000 0.0000 0.5000  4 Mo 2.73, 4 Re 2.73
Mo2 0.0000 0.5000 0.5000  4 Re 2.72, 4 Mo 2.72
Mo3 0.2500 0.2504 0.7500  2 W 2.72, 4 Mo 2.72-2.73, 2 Re 2.73
Mo4 0.2500 0.7496 0.2500  2 W 2.72, 4 Mo 2.72-2.73, 2 Re 2.73
Mo5 0.5000 0.0000 0.0000  4 Mo 2.73, 4 Re 2.73
Mo6 0.5000 0.5000 0.0000  4 Re 2.72, 4 Mo 2.72
Mo7 0.7500 0.2504 0.7500  2 W 2.72, 4 Mo 2.72-2.73, 2 Re 2.73
Mo8 0.7500 0.7496 0.2500  4 Mo 2.72-2.73, 2 W 2.72, 2 Re 2.73
W1 0.0000 0.5000 0.0000  4 Re 2.72, 4 Mo 2.72
W2 0.5000 0.5000 0.5000  4 Re 2.72, 4 Mo 2.72

Computed properties:
The raw total energy is -11.648 eV per atom. As for the formation energy: 0.055 eV/atom.



What did the third record say?
Entry from Alexandria: Cs2BaRuI6 after structural relaxation (GGA-PBE).

a = 8.6221 Å, b = 8.6221 Å, c = 8.6221 Å
α = 60.00°, β = 60.00°, γ = 60.00°
With the nearest neighbours (Å) after each atom.
Fractional coordinates of all 10 atoms:
Cs1 0.2500 0.2500 0.2500  12 I 4.32
Cs2 0.7500 0.7500 0.7500  12 I 4.32
Ba1 0.0000 0.0000 0.0000  6 I 3.36
Ru1 0.5000 0.5000 0.5000  6 I 2.73
I1 0.2760 0.2760 0.7240  1 Ru 2.73
I2 0.2760 0.7240 0.2760  1 Ru 2.73
I3 0.2760 0.7240 0.7240  1 Ru 2.73
I4 0.7240 0.2760 0.2760  1 Ru 2.73
I5 0.7240 0.2760 0.7240  1 Ru 2.73
I6 0.7240 0.7240 0.2760  1 Ru 2.73

Computed properties:
The uncorrected formation energy comes out at -1.04 eV per atom. The raw total energy is -3.259 eV per atom.



raw total energy of number 2 (SrZr2Hg)?
-4.358 eV per atom



Among the records above, which one has the highest raw total energy?
Cs2BaRuI6



Which value of raw total energy does entry 4 give?
-11.648 eV per atom